Entry from the Alexandria database: PrSm2PaBi4 after structural relaxation (PBE).

Structure (POSCAR):
```
PrSm2PaBi4
1.0
7.8906 0.0000 0.0000
0.0000 4.5464 0.0000
-2.6041 0.0000 7.4621
Pr Sm Pa Bi
1 2 1 4
direct
0.0000 0.0000 0.0000 Pr
0.5000 0.0000 0.5000 Sm
0.5000 0.5000 0.0000 Sm
0.0000 0.5000 0.5000 Pa
0.2486 0.0000 0.7450 Bi
0.2507 0.5000 0.2565 Bi
0.7493 0.5000 0.7435 Bi
0.7514 0.0000 0.2550 Bi
```

## Properties
- calculated formation energy (meV/atom) = -714
- theoretical density (Mg/m³) = 9.358
- E_tot (eV/atom) = -5.618
- DOS(E_F) (states/eV/atom) = 0.95
- space-group type = No. 10
- M_tot (μB per cell) = 1.1

Entry from the Alexandria database: Pr2SmPaBi4 after structural relaxation (PBE).

Structure (POSCAR):
```
Pr2SmPaBi4
1.0
7.9270 0.0000 0.0000
0.0000 4.5670 0.0000
-2.6160 0.0000 7.4978
Pr Sm Pa Bi
2 1 1 4
direct
0.0000 0.0000 0.0000 Pr
0.5000 0.5000 0.0000 Pr
0.0000 0.5000 0.5000 Sm
0.5000 0.0000 0.5000 Pa
0.2511 0.0000 0.7417 Bi
0.2553 0.5000 0.2589 Bi
0.7447 0.5000 0.7411 Bi
0.7489 0.0000 0.2583 Bi
```

## Properties
- calculated formation energy (meV/atom) = -726
- theoretical density (Mg/m³) = 9.171
- E_tot (eV/atom) = -5.638
- DOS(E_F) (states/eV/atom) = 0.95
- space-group type = No. 10
- M_tot (μB per cell) = 1.0